Entry 1:
Below is a relaxed MgMn2S3 crystal, with properties calculated at the PBE-GGA level. Values from VASP.

```
&SYSTEM
  ibrav = 0, nat = 6, ntyp = 3
/
ATOMIC_SPECIES
S 32.06 S.upf
Mg 24.30 Mg.upf
Mn 54.94 Mn.upf
CELL_PARAMETERS angstrom
-3.0823 -0.2684 -1.9968
2.5878 1.5679 -4.2054
1.4811 -5.9016 1.9023
ATOMIC_POSITIONS crystal
S 0.1678 0.1679 0.3357
S 0.5000 0.5000 0.0000
Mg 0.5000 0.0000 0.0000
Mn 0.1661 0.6661 0.3321
Mn 0.8339 0.3339 0.6679
S 0.8322 0.8321 0.6643
```

Entry 2:
Below is a relaxed MgMn4S8 crystal, with properties calculated at the PBE-GGA level. Values from VASP.

```
&SYSTEM
  ibrav = 0, nat = 13, ntyp = 3
/
ATOMIC_SPECIES
S 32.06 S.upf
Mn 54.94 Mn.upf
Mg 24.30 Mg.upf
CELL_PARAMETERS angstrom
1.7844 -5.7757 3.5021
6.3304 -2.8150 -0.8996
4.7366 0.3449 5.1238
ATOMIC_POSITIONS crystal
S 0.5939 0.1354 0.1354
S 0.6108 0.6108 0.6108
Mn 0.8914 0.3695 0.3695
Mn 0.3695 0.3695 0.3695
Mg 0.7500 0.7500 0.7500
S 0.1354 0.1354 0.1354
S 0.1354 0.1354 0.5939
Mn 0.3695 0.3695 0.8914
S 0.6108 0.1677 0.6108
Mn 0.3695 0.8914 0.3695
S 0.6108 0.6108 0.1677
S 0.1354 0.5939 0.1354
S 0.1677 0.6108 0.6108
```

Entry 3:
Below is a relaxed MgMn5S8 crystal, with properties calculated at the PBE-GGA level. Values from VASP.

```
&SYSTEM
  ibrav = 0, nat = 14, ntyp = 3
/
ATOMIC_SPECIES
S 32.06 S.upf
Mn 54.94 Mn.upf
Mg 24.30 Mg.upf
CELL_PARAMETERS angstrom
6.2874 0.0000 3.6300
2.0958 5.9278 3.6300
0.0000 0.0000 7.2601
ATOMIC_POSITIONS crystal
S 0.8658 0.4027 0.8658
Mn 0.6238 0.1286 0.6238
S 0.3863 0.3863 0.3863
Mn 0.1286 0.6238 0.6238
S 0.3863 0.8410 0.3863
S 0.8658 0.8658 0.8658
S 0.4027 0.8658 0.8658
Mn 0.6238 0.6238 0.1286
Mn 0.0000 0.0000 0.0000
Mn 0.6238 0.6238 0.6238
S 0.8658 0.8658 0.4027
S 0.8410 0.3863 0.3863
Mg 0.2500 0.2500 0.2500
S 0.3863 0.3863 0.8410
```

Entry 4:
Below is a relaxed Mg3Mn5S12 crystal, with properties calculated at the PBE-GGA level. Values from VASP.

```
&SYSTEM
  ibrav = 0, nat = 80, ntyp = 3
/
ATOMIC_SPECIES
S 32.06 S.upf
Mn 54.94 Mn.upf
Mg 24.30 Mg.upf
CELL_PARAMETERS angstrom
-9.4691 -8.0022 -2.5863
10.1680 -6.5592 3.7386
-3.5553 7.9033 9.2351
ATOMIC_POSITIONS crystal
S 0.5787 0.8714 0.4039
Mn 0.6250 0.8750 0.2500
S 0.8253 0.9213 0.2927
S 0.0787 0.1747 0.2073
S 0.2927 0.8714 0.9675
S 0.4213 0.1286 0.5961
S 0.3253 0.5325 0.4039
S 0.5325 0.3253 0.9039
S 0.1747 0.0787 0.7073
S 0.4213 0.2927 0.3253
S 0.5325 0.2073 0.1286
S 0.6286 0.5961 0.9213
S 0.8253 0.9039 0.0325
Mn 0.0000 0.5000 0.5000
S 0.5961 0.6286 0.4213
Mn 0.6250 0.7500 0.8750
Mn 0.5000 0.0000 0.0000
S 0.4675 0.7927 0.8714
Mn 0.2500 0.8750 0.1250
S 0.7927 0.4675 0.3714
S 0.0961 0.1747 0.4675
S 0.3714 0.4039 0.0787
Mn 0.3750 0.2500 0.1250
Mg 0.7500 0.8750 0.6250
Mg 0.2500 0.6250 0.8750
S 0.3714 0.9675 0.7927
S 0.7927 0.3253 0.9213
Mn 0.8750 0.6250 0.7500
Mn 0.0000 0.0000 0.5000
Mn 0.8750 0.2500 0.6250
Mg 0.7500 0.3750 0.1250
S 0.9675 0.3714 0.2927
S 0.9039 0.0787 0.8714
S 0.6747 0.4675 0.5961
S 0.1286 0.4213 0.0961
Mg 0.6250 0.2500 0.3750
Mg 0.8750 0.7500 0.1250
Mn 0.7500 0.6250 0.3750
S 0.8714 0.5787 0.9039
S 0.5961 0.9675 0.6747
Mn 0.1250 0.3750 0.2500
Mn 0.2500 0.3750 0.6250
S 0.7073 0.5787 0.1747
S 0.9039 0.8253 0.5325
S 0.1286 0.7073 0.5325
S 0.4039 0.0325 0.3253
S 0.0961 0.9213 0.1286
S 0.1747 0.0961 0.9675
S 0.2073 0.5325 0.6286
Mn 0.5000 0.5000 0.5000
S 0.2927 0.4213 0.8253
S 0.4675 0.6747 0.0961
S 0.0787 0.9039 0.3714
S 0.0325 0.6286 0.7073
Mg 0.1250 0.2500 0.8750
Mn 0.0000 0.0000 0.0000
Mn 0.7500 0.1250 0.8750
S 0.3253 0.7927 0.4213
S 0.5787 0.7073 0.6747
S 0.9213 0.0961 0.6286
S 0.6286 0.0325 0.2073
Mg 0.1250 0.8750 0.7500
Mn 0.3750 0.1250 0.7500
Mg 0.6250 0.3750 0.7500
S 0.4039 0.3714 0.5787
S 0.8714 0.2927 0.4675
Mn 0.5000 0.0000 0.5000
Mg 0.3750 0.7500 0.6250
S 0.7073 0.1286 0.0325
Mn 0.1250 0.7500 0.3750
S 0.9213 0.8253 0.7927
S 0.9675 0.5961 0.1747
S 0.2073 0.6747 0.0787
Mg 0.2500 0.1250 0.3750
Mn 0.5000 0.5000 0.0000
S 0.0325 0.4039 0.8253
Mg 0.8750 0.1250 0.2500
Mn 0.0000 0.5000 0.0000
Mg 0.3750 0.6250 0.2500
S 0.6747 0.2073 0.5787
```

Entry 5:
Below is a relaxed MgMn2S crystal, with properties calculated at the PBE-GGA level. Values from VASP.

```
&SYSTEM
  ibrav = 0, nat = 4, ntyp = 3
/
ATOMIC_SPECIES
Mn 54.94 Mn.upf
S 32.06 S.upf
Mg 24.30 Mg.upf
CELL_PARAMETERS angstrom
2.9484 -1.3471 2.5130
0.5471 1.7751 3.6569
-0.9925 -2.0197 3.4291
ATOMIC_POSITIONS crystal
Mn 0.2500 0.2500 0.2500
Mn 0.7500 0.7500 0.7500
S 0.5000 0.5000 0.5000
Mg 0.0000 0.0000 0.0000
```

Entry 6:
Below is a relaxed MgMnS3 crystal, with properties calculated at the PBE-GGA level. Values from VASP.

```
&SYSTEM
  ibrav = 0, nat = 5, ntyp = 3
/
ATOMIC_SPECIES
S 32.06 S.upf
Mg 24.30 Mg.upf
Mn 54.94 Mn.upf
CELL_PARAMETERS angstrom
4.5754 0.0000 0.0000
0.0000 4.5754 0.0000
0.0000 0.0000 4.5754
ATOMIC_POSITIONS crystal
S 0.0000 0.5000 0.0000
S 0.5000 0.0000 0.0000
Mg 0.5000 0.5000 0.5000
Mn 0.0000 0.0000 0.0000
S 0.0000 0.0000 0.5000
```

Entry 7:
Below is a relaxed MgMn4S8 crystal, with properties calculated at the PBE-GGA level. Values from VASP.

```
&SYSTEM
  ibrav = 0, nat = 13, ntyp = 3
/
ATOMIC_SPECIES
S 32.06 S.upf
Mn 54.94 Mn.upf
Mg 24.30 Mg.upf
CELL_PARAMETERS angstrom
6.4938 -3.3697 0.0182
6.4938 3.3697 0.0182
4.7297 0.0000 5.5816
ATOMIC_POSITIONS crystal
S 0.7369 0.7369 0.7369
S 0.2420 0.7315 0.2420
S 0.7580 0.7580 0.2685
Mn 0.5000 0.5000 0.0000
S 0.2631 0.2631 0.2631
S 0.2685 0.7580 0.7580
Mn 0.0000 0.5000 0.5000
S 0.2420 0.2420 0.7315
Mg 0.5000 0.5000 0.5000
Mn 0.0000 0.0000 0.0000
S 0.7580 0.2685 0.7580
Mn 0.5000 0.0000 0.5000
S 0.7315 0.2420 0.2420
```

Entry 8:
Below is a relaxed MgMnSbS2 crystal, with properties calculated at the PBE-GGA level. Values from VASP.

```
&SYSTEM
  ibrav = 0, nat = 5, ntyp = 4
/
ATOMIC_SPECIES
S 32.06 S.upf
Mn 54.94 Mn.upf
Sb 121.76 Sb.upf
Mg 24.30 Mg.upf
CELL_PARAMETERS angstrom
-3.8316 -3.1458 -1.6914
3.4661 -3.7670 -0.8458
-0.7153 -1.7545 4.8835
ATOMIC_POSITIONS crystal
S 0.0000 0.0000 0.5000
S 0.5000 0.0000 0.0000
Mn 0.5000 0.5000 0.5000
Sb 0.0000 0.0000 0.0000
Mg 0.0000 0.5000 0.0000
```

| no. | theoretical density (Mg/m³) | calculated volume (A^3/atom) | formation energy from raw total energies (eV/atom) |
| --- | --- | --- | --- |
| 1 | 3.6 | 17.6 | -0.788 |
| 2 | 3.4 | 18.5 | -0.651 |
| 3 | 3.4 | 19.3 | -0.633 |
| 4 | 3.1 | 19.5 | -0.582 |
| 5 | 5.7 | 12.2 | 0.519 |
| 6 | 3.0 | 19.2 | -0.224 |
| 7 | 3.4 | 18.7 | -0.667 |
| 8 | 3.1 | 28.5 | 0.643 |